Computed, not measured: a relaxed VGaI2O crystal at the PBE+U level of DFT.

Results
Energy relative to the lowest polymorph listed for this composition ... 0.000 eV/f.u.
Theoretical density ... 5.04 g/cm3
Volume ... 25.73 Å³/atom
Size of the total moment ... 2.0 Bohr magnetons per cell

Cell: 5.8495 5.8495 3.7605 Å, 90.00 90.00 90.00°
Positions (direct):
V 0.0000 0.0000 0.0000
Ga 0.5000 0.5000 0.5000
I 0.0000 0.5000 0.0000
I 0.5000 0.0000 0.0000
O 0.0000 0.0000 0.5000